10
Lattice="2.212 -11.414 0.000 2.212 11.414 0.000 0.000 0.000 4.437" Properties=species:S:1:pos:R:3 comment="PmZn2Sn2, optimized geometry, DFT PBE" relative_energy_ev_per_atom=0.000 e_form_mev_per_atom=-383.3 n_ef_per_ev_atom=0.389 pbc="T T T"
Pm 2.212 8.237 3.328
Pm 2.212 -8.237 1.109
Zn 2.212 10.715 1.109
Zn 2.212 0.817 1.109
Zn 2.212 -0.817 3.328
Zn 2.212 -10.715 3.328
Sn 2.212 5.697 1.109
Sn 2.212 2.644 3.328
Sn 2.212 -2.644 1.109
Sn 2.212 -5.697 3.328

3
Lattice="-1.610 1.610 5.818 1.610 -1.610 5.818 1.610 1.610 -5.818" Properties=species:S:1:pos:R:3 comment="AgAsCl, optimized geometry, DFT PBE" relative_energy_ev_per_atom=0.291 formation_energy_uncorrected_ev_per_fu=0.42 n_ef_per_ev_atom=0.500 pbc="T T T"
Ag 0.000 0.000 0.000
As 0.000 0.000 7.482
Cl 0.000 0.000 3.996